Entry 1:
Below is a geometry-optimized TmBiSeO2 structure, with properties calculated at the PBE level.

POSCAR file:
```
TmBiSeO2
1.0
6.503 0.000 0.000
0.000 4.000 0.000
-2.026 0.000 7.403
Tm Bi Se O
2 2 2 4
direct
0.177 0.250 0.423
0.823 0.750 0.577
0.195 0.250 0.909
0.805 0.750 0.091
0.446 0.750 0.711
0.554 0.250 0.289
0.001 0.750 0.873
0.022 0.750 0.379
0.978 0.250 0.621
0.999 0.250 0.127
```

## Properties
Electronic total energy, eV/f.u.: -32.0
Theoretical density, g/cm3: 8.43

=====

Entry 2:
Below is a geometry-optimized BaCd2SnPd structure, with properties calculated at the PBE level.

POSCAR file:
```
BaCd2SnPd
1.0
5.287 0.000 0.000
0.000 5.287 0.000
0.000 0.000 5.222
Ba Cd Sn Pd
1 2 1 1
direct
0.000 0.000 0.000
0.000 0.500 0.500
0.500 0.000 0.500
0.500 0.500 0.000
0.500 0.500 0.500
```

## Properties
Electronic total energy, eV/f.u.: -14.8
Theoretical density, g/cm3: 6.68
Polymorph energy (0 for the lowest one), kJ/mol of formula units: 42.0
Formation energy, kJ/mol of atoms: -35.7

=====

Entry 3:
Below is a geometry-optimized Al3Pt2 structure, with properties calculated at the PBE level.

POSCAR file:
```
Al3Pt2
1.0
4.235 0.000 0.000
-2.117 3.667 0.000
0.000 0.000 5.237
Al Pt
3 2
direct
0.000 0.000 0.000
0.333 0.667 0.353
0.667 0.333 0.647
0.333 0.667 0.832
0.667 0.333 0.168
```

## Properties
Electronic total energy, eV/f.u.: -28.4
Theoretical density, g/cm3: 9.62
Formation energy, kJ/mol of atoms: -97.5

=====

- What is the theoretical density in the second record?
  6.68 g/cm3